Record 1
Density functional theory data (GGA-PBE) for a relaxed Be2CuPt2 crystal.

## Properties
Distance to the lowest polymorph of the same formula ... 95 meV per atom
Calculated formation energy ... -0.463 eV/atom
VASP energy ... -51.89 eV for the cell shown

a b c (Å): 6.772 6.772 2.719
angles (deg): 90.00 90.00 90.00
Positions (direct):
1 Be 0.149 0.351 0.000
2 Be 0.351 0.851 0.000
3 Be 0.649 0.149 0.000
4 Be 0.851 0.649 0.000
5 Cu 0.000 0.000 0.500
6 Cu 0.500 0.500 0.500
7 Pt 0.149 0.649 0.500
8 Pt 0.351 0.149 0.500
9 Pt 0.649 0.851 0.500
10 Pt 0.851 0.351 0.500

=====

Record 2
Density functional theory data (GGA-PBE) for a relaxed BeOsW2 crystal.

## Properties
Calculated formation energy ... 0.774 eV/atom
VASP energy ... -75.53 eV for the cell shown

a b c (Å): 5.605 5.605 5.605
angles (deg): 99.29 99.29 132.62
Positions (direct):
1 Be 0.000 0.000 0.000
2 Be 0.750 0.250 0.500
3 Os 0.250 0.750 0.500
4 Os 0.500 0.500 0.000
5 W 0.035 0.625 0.910
6 W 0.375 0.285 0.410
7 W 0.715 0.125 0.090
8 W 0.875 0.965 0.590

=====

Record 3
Density functional theory data (GGA-PBE) for a relaxed AlNiSbI2 crystal.

## Properties
Distance to the lowest polymorph of the same formula ... 0 meV per atom
VASP energy ... -15.09 eV for the cell shown

a b c (Å): 5.525 5.525 4.841
angles (deg): 90.00 90.00 90.00
Positions (direct):
1 Al 0.000 0.000 0.000
2 Ni 0.500 0.500 0.500
3 Sb 0.500 0.500 0.000
4 I 0.000 0.500 0.500
5 I 0.500 0.000 0.500

=====

Record 4
Density functional theory data (GGA-PBE) for a relaxed Ce2ScSbN5 crystal.

## Properties
VASP energy ... -144.27 eV for the cell shown

a b c (Å): 7.029 7.029 10.528
angles (deg): 90.00 90.00 151.80
Positions (direct):
1 Ce 0.114 0.886 0.500
2 Ce 0.147 0.853 0.094
3 Ce 0.853 0.147 0.594
4 Ce 0.886 0.114 0.000
5 Sc 0.222 0.778 0.814
6 Sc 0.778 0.222 0.314
7 Sb 0.472 0.528 0.269
8 Sb 0.528 0.472 0.769
9 N 0.059 0.941 0.870
10 N 0.278 0.722 0.466
11 N 0.316 0.684 0.182
12 N 0.376 0.624 0.814
13 N 0.490 0.510 0.583
14 N 0.510 0.490 0.083
15 N 0.624 0.376 0.314
16 N 0.684 0.316 0.682
17 N 0.722 0.278 0.966
18 N 0.941 0.059 0.370

=====

Record 5
Density functional theory data (GGA-PBE) for a relaxed Rb2HfTl4 crystal.

## Properties
Calculated formation energy ... 0.240 eV/atom
VASP energy ... -19.67 eV for the cell shown

a b c (Å): 10.228 10.228 10.228
angles (deg): 147.15 147.15 47.15
Positions (direct):
1 Rb 0.139 0.139 0.000
2 Rb 0.861 0.861 0.000
3 Hf 0.500 0.500 0.000
4 Tl 0.000 0.500 0.500
5 Tl 0.347 0.347 0.000
6 Tl 0.500 0.000 0.500
7 Tl 0.653 0.653 0.000

=====

Record 6
Density functional theory data (GGA-PBE) for a relaxed ScTa2H crystal.

## Properties
Distance to the lowest polymorph of the same formula ... 1062 meV per atom
VASP energy ... -28.40 eV for the cell shown

a b c (Å): 4.509 4.509 4.509
angles (deg): 60.00 60.00 60.00
Positions (direct):
1 Sc 0.000 0.000 0.000
2 Ta 0.250 0.250 0.250
3 Ta 0.750 0.750 0.750
4 H 0.500 0.500 0.500

=====

Record 7
Density functional theory data (GGA-PBE) for a relaxed Ac3In3Sn2 crystal.

## Properties
Distance to the lowest polymorph of the same formula ... 3 meV per atom
Calculated formation energy ... -0.511 eV/atom
VASP energy ... -65.27 eV for the cell shown

a b c (Å): 6.758 6.758 17.237
angles (deg): 90.00 90.00 137.47
Positions (direct):
1 Ac 0.082 0.918 0.750
2 Ac 0.361 0.639 0.602
3 Ac 0.361 0.639 0.898
4 Ac 0.639 0.361 0.102
5 Ac 0.639 0.361 0.398
6 Ac 0.918 0.082 0.250
7 In 0.102 0.898 0.534
8 In 0.102 0.898 0.966
9 In 0.186 0.814 0.250
10 In 0.814 0.186 0.750
11 In 0.898 0.102 0.034
12 In 0.898 0.102 0.466
13 Sn 0.356 0.644 0.122
14 Sn 0.356 0.644 0.378
15 Sn 0.644 0.356 0.622
16 Sn 0.644 0.356 0.878

=====

Record 8
Density functional theory data (GGA-PBE) for a relaxed PrNp2Sn9 crystal.

## Properties
Calculated formation energy ... -0.264 eV/atom
VASP energy ... -69.85 eV for the cell shown

a b c (Å): 4.690 4.690 14.105
angles (deg): 90.00 90.00 90.00
Positions (direct):
1 Pr 0.000 0.000 0.000
2 Np 0.000 0.000 0.338
3 Np 0.000 0.000 0.662
4 Sn 0.000 0.500 0.174
5 Sn 0.000 0.500 0.500
6 Sn 0.000 0.500 0.826
7 Sn 0.500 0.000 0.174
8 Sn 0.500 0.000 0.500
9 Sn 0.500 0.000 0.826
10 Sn 0.500 0.500 0.000
11 Sn 0.500 0.500 0.336
12 Sn 0.500 0.500 0.664